A plane-wave DFT calculation with PBE-GGA was carried out for a relaxed SrTlTc2 crystal.

## Properties
The offset from the most stable computed form comes out at 752 meV per atom. The total energy comes out at -41.3 eV/cell. The calculation puts the density of states at the Fermi level at 5.510 states/eV/f.u.

Cell: 3.3525 5.0796 9.8810 Å, 90.00 90.00 90.00°
Space group Immm (No. 71)
Inequivalent atoms, fractional coordinates:
Sr  0.0000  0.0000  0.0000 x2
Tl  0.0000  0.0000  0.5000 x2
Tc  0.0000  0.5000  0.2317 x4

=====

A plane-wave DFT calculation with PBE-GGA was carried out for a relaxed SrTlTc2 crystal.

## Properties
The offset from the most stable computed form comes out at 247 meV per atom. The total energy comes out at -45.4 eV/cell. The calculation puts the density of states at the Fermi level at 4.228 states/eV/f.u.

Cell: 10.0348 3.7993 5.7000 Å, 90.00 108.46 90.00°
Space group C2/m (No. 12)
Inequivalent atoms, fractional coordinates:
Sr  0.0000  0.0000  0.0000 x2
Tl  0.0000  0.5000  0.5000 x2
Tc  0.2400  0.0000  0.6144 x4

=====

A plane-wave DFT calculation with PBE-GGA was carried out for a relaxed SrTlTc3 crystal.

## Properties
The offset from the most stable computed form comes out at 764 meV per atom. The total energy comes out at -21.5 eV/cell. The calculation puts the density of states at the Fermi level at 3.739 states/eV/f.u.

Cell: 5.0518 5.0518 5.0518 Å, 90.00 90.00 90.00°
Space group Pm-3m (No. 221)
Inequivalent atoms, fractional coordinates:
Sr  0.0000  0.0000  0.0000 x1
Tl  0.5000  0.5000  0.5000 x1
Tc  0.0000  0.0000  0.5000 x3

=====

A plane-wave DFT calculation with PBE-GGA was carried out for a relaxed SrTlTc2 crystal.

## Properties
The offset from the most stable computed form comes out at 299 meV per atom. The total energy comes out at -44.9 eV/cell. The calculation puts the density of states at the Fermi level at 4.136 states/eV/f.u.

Cell: 3.7818 5.1570 9.5711 Å, 90.00 90.00 90.00°
Space group Imm2 (No. 44)
Inequivalent atoms, fractional coordinates:
Sr  0.0000  0.0000  0.0000 x2
Tl  0.0000  0.5000  0.2120 x2
Tc  0.0000  0.0000  0.4288 x2
Tc  0.0000  0.5000  0.7820 x2

=====

A plane-wave DFT calculation with PBE-GGA was carried out for a relaxed SrTlTc2 crystal.

## Properties
The offset from the most stable computed form comes out at 838 meV per atom. The total energy comes out at -60.9 eV/cell. The calculation puts the density of states at the Fermi level at 6.009 states/eV/f.u.

Cell: 3.1270 3.1270 29.1716 Å, 90.00 90.00 120.00°
Space group R-3m (No. 166, hexagonal axes)
Inequivalent atoms, fractional coordinates:
Sr  0.0000  0.0000  0.0000 x3
Tl  0.0000  0.0000  0.5000 x3
Tc  0.0000  0.0000  0.2430 x6

=====

A plane-wave DFT calculation with PBE-GGA was carried out for a relaxed SrTlTc2 crystal.

## Properties
The offset from the most stable computed form comes out at 752 meV per atom. The total energy comes out at -41.3 eV/cell. The calculation puts the density of states at the Fermi level at 3.897 states/eV/f.u.

Cell: 4.4659 4.4659 8.6192 Å, 90.00 90.00 90.00°
Space group I4/mmm (No. 139)
Inequivalent atoms, fractional coordinates:
Sr  0.0000  0.0000  0.0000 x2
Tl  0.0000  0.0000  0.5000 x2
Tc  0.0000  0.5000  0.2500 x4

=====

A plane-wave DFT calculation with PBE-GGA was carried out for a relaxed SrTlTc2 crystal.

## Properties
The offset from the most stable computed form comes out at 0 meV per atom. The total energy comes out at -71.0 eV/cell. The calculation puts the density of states at the Fermi level at 3.834 states/eV/f.u.

Cell: 4.1790 4.1790 20.4474 Å, 90.00 90.00 120.00°
Space group R3m (No. 160, hexagonal axes)
Inequivalent atoms, fractional coordinates:
Sr  0.0000  0.0000  0.0000 x3
Tl  0.0000  0.0000  0.2109 x3
Tc  0.0000  0.0000  0.4591 x3
Tc  0.0000  0.0000  0.7810 x3

=====

A plane-wave DFT calculation with PBE-GGA was carried out for a relaxed SrTl3Tc crystal.

## Properties
The offset from the most stable computed form comes out at 0 meV per atom. The total energy comes out at -18.4 eV/cell. The calculation puts the density of states at the Fermi level at 2.152 states/eV/f.u.

Cell: 5.3469 5.3469 5.3469 Å, 90.00 90.00 90.00°
Space group Pm-3m (No. 221)
Inequivalent atoms, fractional coordinates:
Sr  0.0000  0.0000  0.0000 x1
Tl  0.0000  0.5000  0.5000 x3
Tc  0.5000  0.5000  0.5000 x1

=====

| no. | volume (Å³ per cell) |
| --- | --- |
| 1 | 168.27 |
| 2 | 206.13 |
| 3 | 128.93 |
| 4 | 186.67 |
| 5 | 247.03 |
| 6 | 171.91 |
| 7 | 309.30 |
| 8 | 152.87 |